Crystalline Pm5Ho2Sn4 at its relaxed geometry, computed with PBE.

Results
Its total DFT energy (no corrections) is -4.865 eV/atom.

abc: 4.4534 7.8093 11.6881
angles: 114.25 100.98 90.00
Last column: nearest neighbours and their distance in Å.
Fractional coordinates of all 11 atoms:
Sn 0.9832 0.2604 0.9664  3 Pm 3.15-3.21, 4 Ho 3.21-3.23, 1 Sn 3.49
Sn 0.2847 0.3151 0.5693  1 Ho 2.99, 6 Pm 3.16-3.25
Sn 0.0168 0.7396 0.0336  3 Pm 3.15-3.21, 4 Ho 3.21-3.23, 1 Sn 3.49
Sn 0.7153 0.6849 0.4307  1 Ho 2.99, 6 Pm 3.16-3.25
Pm 0.1511 0.3550 0.3022  3 Sn 3.21-3.25, 2 Ho 3.57
Pm 0.1708 0.9081 0.3415  4 Sn 3.16-3.25
Pm 0.8489 0.6450 0.6978  3 Sn 3.21-3.25, 2 Ho 3.57
Pm 0.8292 0.0919 0.6585  4 Sn 3.16-3.25
Pm 0.5000 0.0000 0.0000  4 Sn 3.15
Ho 0.5724 0.5472 0.1447  5 Sn 2.99-3.23, 1 Ho 3.09
Ho 0.4276 0.4528 0.8553  5 Sn 2.99-3.23, 1 Ho 3.09

***

Crystalline PmHo4Sn4 at its relaxed geometry, computed with PBE.

Results
Its total DFT energy (no corrections) is -4.759 eV/atom.

abc: 6.1098 9.8345 9.8345
angles: 90.00 90.00 90.00
Last column: nearest neighbours and their distance in Å.
Fractional coordinates of all 18 atoms:
Sn 0.4011 0.6372 0.7860  1 Sn 2.97, 5 Ho 3.07-3.19, 1 Pm 3.18
Sn 0.4011 0.3628 0.2140  1 Sn 2.97, 5 Ho 3.07-3.19, 1 Pm 3.18
Sn 0.5989 0.7860 0.3628  1 Sn 2.97, 5 Ho 3.07-3.19, 1 Pm 3.18
Sn 0.9011 0.2860 0.8628  1 Sn 2.97, 5 Ho 3.07-3.19, 1 Pm 3.18
Sn 0.0989 0.8628 0.7140  1 Sn 2.97, 5 Ho 3.07-3.19, 1 Pm 3.18
Sn 0.5989 0.2140 0.6372  1 Sn 2.97, 5 Ho 3.07-3.19, 1 Pm 3.18
Sn 0.9011 0.7140 0.1372  1 Sn 2.97, 5 Ho 3.07-3.19, 1 Pm 3.18
Sn 0.0989 0.1372 0.2860  1 Sn 2.97, 5 Ho 3.07-3.19, 1 Pm 3.18
Pm 0.0000 0.0000 0.0000  4 Sn 3.18
Pm 0.5000 0.5000 0.5000  4 Sn 3.18
Ho 0.1087 0.8454 0.3979  5 Sn 3.07-3.19
Ho 0.3913 0.3454 0.8979  5 Sn 3.07-3.19
Ho 0.1087 0.1546 0.6021  5 Sn 3.07-3.19
Ho 0.3913 0.6546 0.1021  5 Sn 3.07-3.19
Ho 0.6087 0.1021 0.3454  5 Sn 3.07-3.19
Ho 0.8913 0.6021 0.8454  5 Sn 3.07-3.19
Ho 0.6087 0.8979 0.6546  5 Sn 3.07-3.19
Ho 0.8913 0.3979 0.1546  5 Sn 3.07-3.19

***

Crystalline Pm6Ho12Sn at its relaxed geometry, computed with PBE.

Results
Its total DFT energy (no corrections) is -4.568 eV/atom.

abc: 8.4727 8.4727 8.4727
angles: 88.87 88.87 88.87
Last column: nearest neighbours and their distance in Å.
Fractional coordinates of all 19 atoms:
Pm 0.0906 0.6932 0.2566  7 Ho 3.29-3.64, 1 Sn 3.44, 2 Pm 3.46
Pm 0.6932 0.2566 0.0906  7 Ho 3.29-3.64, 1 Sn 3.44, 2 Pm 3.46
Pm 0.9094 0.3068 0.7434  7 Ho 3.29-3.64, 1 Sn 3.44, 2 Pm 3.46
Pm 0.3068 0.7434 0.9094  7 Ho 3.29-3.64, 1 Sn 3.44, 2 Pm 3.46
Pm 0.7434 0.9094 0.3068  7 Ho 3.29-3.64, 1 Sn 3.44, 2 Pm 3.46
Pm 0.2566 0.0906 0.6932  7 Ho 3.29-3.64, 1 Sn 3.44, 2 Pm 3.46
Ho 0.0116 0.1940 0.3568  4 Pm 3.38-3.64, 4 Ho 3.44-3.58, 1 Sn 3.47
Ho 0.3568 0.0116 0.1940  4 Pm 3.38-3.64, 4 Ho 3.44-3.58, 1 Sn 3.47
Ho 0.1940 0.3568 0.0116  4 Pm 3.38-3.64, 4 Ho 3.44-3.58, 1 Sn 3.47
Ho 0.2237 0.4589 0.5657  6 Ho 3.26-3.59, 3 Pm 3.29-3.45
Ho 0.5657 0.2237 0.4589  6 Ho 3.26-3.59, 3 Pm 3.29-3.45
Ho 0.4343 0.7763 0.5411  6 Ho 3.26-3.59, 3 Pm 3.29-3.45
Ho 0.9884 0.8060 0.6432  4 Pm 3.38-3.64, 4 Ho 3.44-3.58, 1 Sn 3.47
Ho 0.4589 0.5657 0.2237  6 Ho 3.26-3.59, 3 Pm 3.29-3.45
Ho 0.7763 0.5411 0.4343  6 Ho 3.26-3.59, 3 Pm 3.29-3.45
Ho 0.8060 0.6432 0.9884  4 Pm 3.38-3.64, 4 Ho 3.44-3.58, 1 Sn 3.47
Ho 0.6432 0.9884 0.8060  4 Pm 3.38-3.64, 4 Ho 3.44-3.58, 1 Sn 3.47
Ho 0.5411 0.4343 0.7763  6 Ho 3.26-3.59, 3 Pm 3.29-3.45
Sn 0.0000 0.0000 0.0000  6 Pm 3.44, 6 Ho 3.47

***

Crystalline Pm8Ho2Sn at its relaxed geometry, computed with PBE.

Results
Its total DFT energy (no corrections) is -4.769 eV/atom.

abc: 4.9870 8.0675 9.4934
angles: 104.90 105.23 90.00
Last column: nearest neighbours and their distance in Å.
Fractional coordinates of all 11 atoms:
Sn 0.5000 0.0000 0.0000  12 Pm 3.49-3.56
Pm 0.6777 0.9071 0.3553  8 Pm 3.52-3.68, 1 Sn 3.53, 3 Ho 3.58-3.67
Pm 0.0432 0.7320 0.0865  9 Pm 3.51-3.68, 2 Sn 3.53, 1 Ho 3.61
Pm 0.4100 0.5599 0.8200  1 Sn 3.49, 8 Pm 3.51-3.68, 3 Ho 3.55-3.61
Pm 0.1368 0.1786 0.2737  7 Pm 3.52-3.64, 2 Sn 3.56, 3 Ho 3.59-3.60
Pm 0.3223 0.0929 0.6447  8 Pm 3.52-3.68, 1 Sn 3.53, 3 Ho 3.58-3.67
Pm 0.8632 0.8214 0.7263  7 Pm 3.52-3.64, 2 Sn 3.56, 3 Ho 3.59-3.60
Pm 0.9568 0.2680 0.9135  9 Pm 3.51-3.68, 2 Sn 3.53, 1 Ho 3.61
Pm 0.5900 0.4401 0.1800  1 Sn 3.49, 8 Pm 3.51-3.68, 3 Ho 3.55-3.61
Ho 0.7760 0.3673 0.5520  10 Pm 3.55-3.67, 2 Ho 3.58
Ho 0.2240 0.6327 0.4480  10 Pm 3.55-3.67, 2 Ho 3.58

***

Question: Among the records above, which one has the highest total DFT energy (no corrections)?
Answer: Pm6Ho12Sn

***

Repeat the third record exactly.
Crystalline Pm6Ho12Sn at its relaxed geometry, computed with PBE.

Results
Its total DFT energy (no corrections) is -4.568 eV/atom.

abc: 8.4727 8.4727 8.4727
angles: 88.87 88.87 88.87
Last column: nearest neighbours and their distance in Å.
Fractional coordinates of all 19 atoms:
Pm 0.0906 0.6932 0.2566  7 Ho 3.29-3.64, 1 Sn 3.44, 2 Pm 3.46
Pm 0.6932 0.2566 0.0906  7 Ho 3.29-3.64, 1 Sn 3.44, 2 Pm 3.46
Pm 0.9094 0.3068 0.7434  7 Ho 3.29-3.64, 1 Sn 3.44, 2 Pm 3.46
Pm 0.3068 0.7434 0.9094  7 Ho 3.29-3.64, 1 Sn 3.44, 2 Pm 3.46
Pm 0.7434 0.9094 0.3068  7 Ho 3.29-3.64, 1 Sn 3.44, 2 Pm 3.46
Pm 0.2566 0.0906 0.6932  7 Ho 3.29-3.64, 1 Sn 3.44, 2 Pm 3.46
Ho 0.0116 0.1940 0.3568  4 Pm 3.38-3.64, 4 Ho 3.44-3.58, 1 Sn 3.47
Ho 0.3568 0.0116 0.1940  4 Pm 3.38-3.64, 4 Ho 3.44-3.58, 1 Sn 3.47
Ho 0.1940 0.3568 0.0116  4 Pm 3.38-3.64, 4 Ho 3.44-3.58, 1 Sn 3.47
Ho 0.2237 0.4589 0.5657  6 Ho 3.26-3.59, 3 Pm 3.29-3.45
Ho 0.5657 0.2237 0.4589  6 Ho 3.26-3.59, 3 Pm 3.29-3.45
Ho 0.4343 0.7763 0.5411  6 Ho 3.26-3.59, 3 Pm 3.29-3.45
Ho 0.9884 0.8060 0.6432  4 Pm 3.38-3.64, 4 Ho 3.44-3.58, 1 Sn 3.47
Ho 0.4589 0.5657 0.2237  6 Ho 3.26-3.59, 3 Pm 3.29-3.45
Ho 0.7763 0.5411 0.4343  6 Ho 3.26-3.59, 3 Pm 3.29-3.45
Ho 0.8060 0.6432 0.9884  4 Pm 3.38-3.64, 4 Ho 3.44-3.58, 1 Sn 3.47
Ho 0.6432 0.9884 0.8060  4 Pm 3.38-3.64, 4 Ho 3.44-3.58, 1 Sn 3.47
Ho 0.5411 0.4343 0.7763  6 Ho 3.26-3.59, 3 Pm 3.29-3.45
Sn 0.0000 0.0000 0.0000  6 Pm 3.44, 6 Ho 3.47

***

Question: Which of these has the lowest total DFT energy (no corrections)?
Answer: Pm5Ho2Sn4

***

What did the first record say?
Crystalline Pm5Ho2Sn4 at its relaxed geometry, computed with PBE.

Results
Its total DFT energy (no corrections) is -4.865 eV/atom.

abc: 4.4534 7.8093 11.6881
angles: 114.25 100.98 90.00
Last column: nearest neighbours and their distance in Å.
Fractional coordinates of all 11 atoms:
Sn 0.9832 0.2604 0.9664  3 Pm 3.15-3.21, 4 Ho 3.21-3.23, 1 Sn 3.49
Sn 0.2847 0.3151 0.5693  1 Ho 2.99, 6 Pm 3.16-3.25
Sn 0.0168 0.7396 0.0336  3 Pm 3.15-3.21, 4 Ho 3.21-3.23, 1 Sn 3.49
Sn 0.7153 0.6849 0.4307  1 Ho 2.99, 6 Pm 3.16-3.25
Pm 0.1511 0.3550 0.3022  3 Sn 3.21-3.25, 2 Ho 3.57
Pm 0.1708 0.9081 0.3415  4 Sn 3.16-3.25
Pm 0.8489 0.6450 0.6978  3 Sn 3.21-3.25, 2 Ho 3.57
Pm 0.8292 0.0919 0.6585  4 Sn 3.16-3.25
Pm 0.5000 0.0000 0.0000  4 Sn 3.15
Ho 0.5724 0.5472 0.1447  5 Sn 2.99-3.23, 1 Ho 3.09
Ho 0.4276 0.4528 0.8553  5 Sn 2.99-3.23, 1 Ho 3.09